An optimized crystal structure of PmMoBrO4. Source: Alexandria, functional PBE with a Hubbard U.

Lattice parameters (Å, degrees): 10.722 7.479 7.082 90.00 106.38 90.00
Space group C2/m (No. 12)
Symmetry-distinct sites (fractional):
Pm (0.230, 0.000, 0.120) x4
Mo (0.136, 0.500, 0.266) x4
Br (0.013, 0.000, 0.755) x4
O (0.036, 0.500, 0.793) x4
O (0.195, 0.314, 0.149) x8
O (0.203, 0.500, 0.526) x4

Results
Crystal system   monoclinic
Spin magnetization   0.00 μB per formula unit
Total DFT energy (no corrections)   -6.955 eV per atom
N(E_F)   0.000 states/eV per atom